{"formula": "CuOsRh2", "functional": "PBE", "state": "relaxed", "lattice": [[3.730, 0.000, 0.000], [0.000, 3.855, 0.000], [0.000, 0.000, 3.855]], "species": ["Cu", "Os", "Rh", "Rh"], "frac_coords": [[0.500, 0.500, 0.000], [0.500, 0.000, 0.500], [0.000, 0.000, 0.000], [0.000, 0.500, 0.500]], "e_tot_ev_per_atom": -7.226, "magnetic_moment_mub_per_cell": 0.94, "n_ef_per_ev_atom": 1.34, "spacegroup": "P4/mmm", "vol_a3_per_cell": 55.4, "polymorph_energy_mev_per_atom": 258.1}

{"formula": "SiNi2Br", "functional": "PBE", "state": "relaxed", "lattice": [[3.006, 0.000, 0.000], [0.000, 3.018, 0.000], [0.000, 0.000, 6.484]], "species": ["Br", "Ni", "Ni", "Si"], "frac_coords": [[0.500, 0.500, 0.750], [0.000, 0.000, 0.064], [0.000, 0.000, 0.436], [0.500, 0.500, 0.250]], "raw_formation_energy_ev_per_atom": 0.1175, "e_tot_ev_per_atom": -4.547, "magnetic_moment_mub_per_cell": 0.00, "n_ef_per_ev_atom": 0.77, "spacegroup": "Pmmm", "vol_a3_per_cell": 58.8, "polymorph_energy_mev_per_atom": 304.9}

{"formula": "LiCu3Ge", "functional": "PBE", "state": "relaxed", "lattice": [[-3.653, -2.693, 0.373], [1.342, -2.329, -3.676], [2.365, -2.838, 2.662]], "species": ["Ge", "Cu", "Cu", "Cu", "Li"], "frac_coords": [[0.000, 0.000, 0.000], [0.000, 0.500, 0.000], [0.000, 0.000, 0.500], [0.500, 0.000, 0.000], [0.500, 0.500, 0.500]], "e_tot_ev_per_atom": -3.463, "magnetic_moment_mub_per_cell": 0.00, "n_ef_per_ev_atom": 0.20, "spacegroup": "Pm-3m", "vol_a3_per_cell": 94.4, "polymorph_energy_mev_per_atom": 426.1}

{"formula": "Al3ZnAg3", "functional": "PBE", "state": "relaxed", "lattice": [[5.175, -0.411, -1.525], [-1.925, 4.821, -1.525], [-0.303, -0.411, 5.387]], "species": ["Al", "Al", "Al", "Zn", "Ag", "Ag", "Ag"], "frac_coords": [[0.549, 0.023, 0.023], [0.023, 0.023, 0.549], [0.023, 0.549, 0.023], [0.102, 0.102, 0.102], [0.527, 0.527, 0.048], [0.527, 0.048, 0.527], [0.048, 0.527, 0.527]], "e_tot_ev_per_atom": -2.984, "magnetic_moment_mub_per_cell": 0.00, "n_ef_per_ev_atom": 0.12, "spacegroup": "R3m", "vol_a3_per_cell": 123.3, "polymorph_energy_mev_per_atom": 0.0}

{"formula": "Er8Si3Te3P", "functional": "PBE", "state": "relaxed", "lattice": [[8.267, 0.000, 0.000], [-4.134, 7.159, -0.026], [0.000, -4.748, 6.973]], "species": ["Er", "Er", "Er", "Er", "Er", "Er", "Er", "Er", "Si", "Si", "Si", "Te", "Te", "Te", "P"], "frac_coords": [[0.261, 0.522, 0.282], [0.739, 0.478, 0.718], [0.761, 0.523, 0.284], [0.239, 0.477, 0.716], [0.761, 0.023, 0.284], [0.239, 0.977, 0.716], [0.262, 0.023, 0.284], [0.738, 0.977, 0.716], [0.500, 0.000, 0.500], [0.500, 0.500, 0.500], [0.000, 0.500, 0.500], [0.000, 0.000, 0.000], [0.000, 0.500, 0.000], [0.500, 0.500, 0.000], [0.000, 0.000, 0.500]], "raw_formation_energy_ev_per_atom": -1.0239, "e_tot_ev_per_atom": -5.531, "magnetic_moment_mub_per_cell": 0.27, "n_ef_per_ev_atom": 0.56, "spacegroup": "R-3m", "vol_a3_per_cell": 411.7}

{"formula": "La4YTm3Te8", "functional": "PBE", "state": "relaxed", "lattice": [[-2.254, 7.734, 3.487], [-8.361, -0.974, -3.245], [3.361, -6.302, 5.102]], "species": ["La", "La", "La", "La", "Y", "Tm", "Tm", "Tm", "Te", "Te", "Te", "Te", "Te", "Te", "Te", "Te"], "frac_coords": [[0.500, 0.000, 0.000], [0.500, 0.000, 0.500], [0.000, 0.000, 0.000], [0.000, 0.000, 0.500], [0.000, 0.500, 0.000], [0.500, 0.500, 0.000], [0.500, 0.500, 0.500], [0.000, 0.500, 0.500], [0.245, 0.730, 0.985], [0.245, 0.730, 0.489], [0.257, 0.272, 0.515], [0.740, 0.730, 0.985], [0.260, 0.270, 0.015], [0.743, 0.728, 0.485], [0.755, 0.270, 0.511], [0.755, 0.270, 0.015]], "raw_formation_energy_ev_per_atom": -1.4074, "e_tot_ev_per_atom": -5.453, "magnetic_moment_mub_per_cell": 0.01, "n_ef_per_ev_atom": 0.71, "spacegroup": "R-3m", "vol_a3_per_cell": 498.0}

{"formula": "LiSmDy2Se5", "functional": "PBE", "state": "relaxed", "lattice": [[-2.301, -1.381, 3.075], [1.654, -7.220, -4.712], [10.276, -2.061, 6.766]], "species": ["Li", "Li", "Sm", "Sm", "Dy", "Dy", "Dy", "Dy", "Se", "Se", "Se", "Se", "Se", "Se", "Se", "Se", "Se", "Se"], "frac_coords": [[0.511, 0.022, 0.983], [0.489, 0.978, 0.483], [0.806, 0.611, 0.499], [0.194, 0.389, 0.999], [0.877, 0.754, 0.791], [0.109, 0.218, 0.684], [0.123, 0.246, 0.291], [0.891, 0.782, 0.184], [0.363, 0.726, 0.004], [0.692, 0.384, 0.834], [0.501, 0.001, 0.787], [0.288, 0.576, 0.665], [0.957, 0.914, 0.578], [0.637, 0.274, 0.504], [0.308, 0.616, 0.334], [0.499, 0.999, 0.287], [0.712, 0.424, 0.165], [0.043, 0.086, 0.078]], "raw_formation_energy_ev_per_atom": -1.6706, "e_tot_ev_per_atom": -5.366, "magnetic_moment_mub_per_cell": 0.00, "spacegroup": "Cmc2_1", "vol_a3_per_cell": 434.7}

{"formula": "LaSmTm2Tl4", "functional": "PBE", "state": "relaxed", "lattice": [[-4.208, 3.107, 1.456], [-3.450, -1.720, 3.823], [2.461, 4.318, 8.019]], "species": ["La", "Sm", "Tm", "Tm", "Tl", "Tl", "Tl", "Tl"], "frac_coords": [[0.000, 0.000, 0.000], [0.500, 0.500, 0.500], [0.750, 0.750, 0.749], [0.250, 0.250, 0.251], [0.377, 0.377, 0.870], [0.874, 0.874, 0.379], [0.126, 0.126, 0.621], [0.623, 0.623, 0.130]], "e_tot_ev_per_atom": -3.850, "magnetic_moment_mub_per_cell": 0.00, "n_ef_per_ev_atom": 0.79, "spacegroup": "R-3m", "vol_a3_per_cell": 227.2}

{"formula": "Mg2VAu8", "functional": "PBE", "state": "relaxed", "lattice": [[0.700, 4.008, 0.901], [0.211, 1.407, -6.424], [-7.469, -1.749, 3.949]], "species": ["Mg", "Mg", "V", "Au", "Au", "Au", "Au", "Au", "Au", "Au", "Au"], "frac_coords": [[0.221, 0.789, 0.442], [0.779, 0.211, 0.558], [0.500, 0.000, 0.000], [0.598, 0.749, 0.196], [0.324, 0.554, 0.648], [0.143, 0.095, 0.286], [0.040, 0.345, 0.080], [0.857, 0.905, 0.714], [0.676, 0.446, 0.352], [0.402, 0.251, 0.804], [0.960, 0.655, 0.920]], "e_tot_ev_per_atom": -3.751, "magnetic_moment_mub_per_cell": 2.49, "n_ef_per_ev_atom": 0.55, "spacegroup": "C2/m", "vol_a3_per_cell": 194.1}

{"formula": "TmThSb", "functional": "PBE", "state": "relaxed", "lattice": [[-0.483, -0.419, -4.032], [-6.001, -1.586, -1.183], [-3.670, 6.504, -2.304]], "species": ["Tm", "Tm", "Th", "Th", "Sb", "Sb"], "frac_coords": [[0.348, 0.253, 0.051], [0.652, 0.747, 0.949], [0.923, 0.812, 0.342], [0.077, 0.188, 0.658], [0.655, 0.375, 0.315], [0.345, 0.625, 0.685]], "raw_formation_energy_ev_per_atom": -0.5960, "e_tot_ev_per_atom": -5.934, "magnetic_moment_mub_per_cell": 0.00, "n_ef_per_ev_atom": 1.18, "spacegroup": "C2/m", "vol_a3_per_cell": 179.3}

{"formula": "MgV2OsRu", "functional": "PBE", "state": "relaxed", "lattice": [[4.564, 0.000, 0.000], [0.000, 4.790, 0.000], [0.000, 0.000, 4.564]], "species": ["Ru", "Mg", "Os", "V", "V"], "frac_coords": [[0.000, 0.500, 0.000], [0.500, 0.500, 0.500], [0.000, 0.000, 0.000], [0.000, 0.000, 0.500], [0.500, 0.000, 0.000]], "e_tot_ev_per_atom": -7.031, "magnetic_moment_mub_per_cell": 0.00, "n_ef_per_ev_atom": 1.69, "spacegroup": "P4/mmm", "vol_a3_per_cell": 99.8}

{"formula": "Sb4MoIr", "functional": "PBE", "state": "relaxed", "lattice": [[5.540, 1.450, 1.570], [1.049, 2.358, 5.347], [2.840, -3.172, 4.139]], "species": ["Sb", "Sb", "Sb", "Sb", "Mo", "Ir"], "frac_coords": [[0.874, 0.375, 0.375], [0.375, 0.375, 0.874], [0.375, 0.874, 0.375], [0.375, 0.375, 0.375], [0.000, 0.000, 0.000], [0.750, 0.750, 0.750]], "raw_formation_energy_ev_per_atom": 1.2969, "e_tot_ev_per_atom": -4.733, "magnetic_moment_mub_per_cell": 2.70, "n_ef_per_ev_atom": 0.60, "spacegroup": "F-43m", "vol_a3_per_cell": 148.0}

{"formula": "CdInSb", "functional": "PBE", "state": "relaxed", "lattice": [[-0.812, 6.711, -4.388], [-3.851, 6.055, -3.470], [0.603, 2.360, 2.139]], "species": ["Sb", "Cd", "In"], "frac_coords": [[0.662, 0.662, 0.338], [0.000, 0.000, 0.000], [0.338, 0.338, 0.662]], "raw_formation_energy_ev_per_atom": 0.0883, "e_tot_ev_per_atom": -2.504, "magnetic_moment_mub_per_cell": 0.00, "n_ef_per_ev_atom": 0.53, "spacegroup": "Fmm2", "vol_a3_per_cell": 80.0}